# 1
Compound: PaPt2O8
Source: the Alexandria database
Functional: GGA-PBE
Structure: relaxed

a b c (Å): 5.924 5.924 4.199
angles (deg): 96.08 96.08 75.98
Sites, in units of the cell vectors:
Pa 0.000 0.000 0.000
Pt 0.373 0.373 0.720
Pt 0.627 0.627 0.280
O 0.124 0.644 0.778
O 0.161 0.161 0.677
O 0.356 0.876 0.222
O 0.409 0.409 0.244
O 0.591 0.591 0.756
O 0.644 0.124 0.778
O 0.839 0.839 0.323
O 0.876 0.356 0.222

Values from the calculation:
The calculation puts the total energy at -72.832 eV per formula unit.


# 2
Compound: PaPtO2
Source: the Alexandria database
Functional: GGA-PBE
Structure: relaxed

a b c (Å): 5.502 5.502 5.502
angles (deg): 41.49 41.49 41.49
Sites, in units of the cell vectors:
Pa 0.000 0.000 0.000
Pt 0.500 0.500 0.500
O 0.368 0.368 0.368
O 0.632 0.632 0.632

Values from the calculation:
The calculation puts the total energy at -33.807 eV per formula unit.


# 3
Compound: Pa2PtO6
Source: the Alexandria database
Functional: GGA-PBE
Structure: relaxed

a b c (Å): 5.569 5.867 8.958
angles (deg): 90.00 111.16 90.00
Sites, in units of the cell vectors:
Pa 0.175 0.148 0.207
Pa 0.175 0.352 0.707
Pa 0.825 0.648 0.293
Pa 0.825 0.852 0.793
Pt 0.500 0.000 0.000
Pt 0.500 0.500 0.500
O 0.104 0.598 0.866
O 0.104 0.902 0.366
O 0.141 0.133 0.940
O 0.141 0.367 0.440
O 0.498 0.083 0.778
O 0.498 0.417 0.278
O 0.502 0.583 0.722
O 0.502 0.917 0.222
O 0.859 0.633 0.560
O 0.859 0.867 0.060
O 0.896 0.098 0.634
O 0.896 0.402 0.134

Values from the calculation:
The calculation puts the total energy at -79.613 eV per formula unit.


# 4
Compound: PaPt3O8
Source: the Alexandria database
Functional: GGA-PBE
Structure: relaxed

a b c (Å): 4.350 6.571 6.773
angles (deg): 99.99 107.23 95.92
Sites, in units of the cell vectors:
Pa 0.000 0.000 0.000
Pt 0.627 0.489 0.177
Pt 0.669 0.017 0.376
Pt 0.876 0.395 0.770
O 0.148 0.011 0.336
O 0.411 0.413 0.867
O 0.522 0.974 0.052
O 0.573 0.712 0.372
O 0.781 0.344 0.445
O 0.817 0.076 0.690
O 0.922 0.700 0.852
O 0.966 0.362 0.075

Values from the calculation:
The calculation puts the total energy at -80.369 eV per formula unit.


# 5
Compound: PaPtO6
Source: the Alexandria database
Functional: GGA-PBE
Structure: relaxed

a b c (Å): 5.302 5.302 9.693
angles (deg): 90.00 90.00 120.00
Sites, in units of the cell vectors:
Pa 0.333 0.667 0.250
Pa 0.667 0.333 0.750
Pt 0.000 0.000 0.000
Pt 0.000 0.000 0.500
O 0.045 0.319 0.115
O 0.045 0.726 0.385
O 0.274 0.319 0.385
O 0.274 0.955 0.115
O 0.319 0.045 0.615
O 0.319 0.274 0.885
O 0.681 0.726 0.115
O 0.681 0.955 0.385
O 0.726 0.045 0.885
O 0.726 0.681 0.615
O 0.955 0.274 0.615
O 0.955 0.681 0.885

Values from the calculation:
The calculation puts the total energy at -56.716 eV per formula unit.


# 6
Compound: PuPaPtO6
Source: the Alexandria database
Functional: GGA-PBE
Structure: relaxed

a b c (Å): 5.417 5.417 10.222
angles (deg): 90.00 90.00 120.00
Sites, in units of the cell vectors:
Pu 0.000 0.000 0.000
Pu 0.000 0.000 0.500
Pa 0.333 0.667 0.250
Pa 0.667 0.333 0.750
Pt 0.333 0.667 0.750
Pt 0.667 0.333 0.250
O 0.013 0.343 0.633
O 0.013 0.669 0.867
O 0.331 0.343 0.867
O 0.331 0.987 0.633
O 0.343 0.013 0.133
O 0.343 0.331 0.367
O 0.657 0.669 0.633
O 0.657 0.987 0.867
O 0.669 0.013 0.367
O 0.669 0.657 0.133
O 0.987 0.331 0.133
O 0.987 0.657 0.367

Values from the calculation:
The calculation puts the total energy at -81.092 eV per formula unit.


# 7
Compound: RbPaPtO5
Source: the Alexandria database
Functional: GGA-PBE
Structure: relaxed

a b c (Å): 6.945 6.945 6.612
angles (deg): 108.48 108.48 101.23
Sites, in units of the cell vectors:
Rb 0.090 0.910 0.750
Rb 0.910 0.090 0.250
Pa 0.000 0.500 0.000
Pa 0.500 0.000 0.500
Pt 0.444 0.556 0.750
Pt 0.556 0.444 0.250
O 0.168 0.528 0.769
O 0.172 0.828 0.250
O 0.251 0.397 0.186
O 0.397 0.251 0.686
O 0.472 0.832 0.731
O 0.528 0.168 0.269
O 0.603 0.749 0.314
O 0.749 0.603 0.814
O 0.828 0.172 0.750
O 0.832 0.472 0.231

Values from the calculation:
The calculation puts the total energy at -56.864 eV per formula unit.


# 8
Compound: Rb2PaPt3O12
Source: the Alexandria database
Functional: GGA-PBE
Structure: relaxed

a b c (Å): 7.664 7.664 7.664
angles (deg): 56.60 56.60 56.60
Sites, in units of the cell vectors:
Rb 0.113 0.113 0.113
Rb 0.887 0.887 0.887
Pa 0.500 0.500 0.500
Pt 0.000 0.500 0.500
Pt 0.500 0.000 0.500
Pt 0.500 0.500 0.000
O 0.161 0.571 0.571
O 0.178 0.178 0.591
O 0.178 0.591 0.178
O 0.409 0.822 0.822
O 0.429 0.429 0.839
O 0.429 0.839 0.429
O 0.571 0.161 0.571
O 0.571 0.571 0.161
O 0.591 0.178 0.178
O 0.822 0.409 0.822
O 0.822 0.822 0.409
O 0.839 0.429 0.429

Values from the calculation:
The calculation puts the total energy at -110.250 eV per formula unit.


# 9
Compound: RbPaPtO6
Source: the Alexandria database
Functional: GGA-PBE
Structure: relaxed

a b c (Å): 7.708 7.708 7.708
angles (deg): 123.05 117.55 89.54
Sites, in units of the cell vectors:
Rb 0.369 0.119 0.250
Rb 0.631 0.881 0.750
Pa 0.000 0.500 0.500
Pa 0.500 0.500 0.000
Pt 0.000 0.000 0.500
Pt 0.000 0.500 0.000
O 0.054 0.424 0.222
O 0.054 0.832 0.630
O 0.065 0.815 0.250
O 0.298 0.168 0.722
O 0.298 0.576 0.130
O 0.330 0.580 0.750
O 0.670 0.420 0.250
O 0.702 0.424 0.870
O 0.702 0.832 0.278
O 0.935 0.185 0.750
O 0.946 0.168 0.370
O 0.946 0.576 0.778

Values from the calculation:
The calculation puts the total energy at -62.185 eV per formula unit.


# 10
Compound: Rb2Pa3PtO12
Source: the Alexandria database
Functional: GGA-PBE
Structure: relaxed

a b c (Å): 7.858 7.858 7.858
angles (deg): 61.20 61.20 61.20
Sites, in units of the cell vectors:
Rb 0.118 0.118 0.118
Rb 0.882 0.882 0.882
Pa 0.000 0.500 0.500
Pa 0.500 0.000 0.500
Pa 0.500 0.500 0.000
Pt 0.500 0.500 0.500
O 0.177 0.177 0.565
O 0.177 0.565 0.177
O 0.210 0.559 0.559
O 0.435 0.823 0.823
O 0.441 0.441 0.790
O 0.441 0.790 0.441
O 0.559 0.210 0.559
O 0.559 0.559 0.210
O 0.565 0.177 0.177
O 0.790 0.441 0.441
O 0.823 0.435 0.823
O 0.823 0.823 0.435

Values from the calculation:
The calculation puts the total energy at -138.987 eV per formula unit.


# 11
Compound: Rb2PaPtO6
Source: the Alexandria database
Functional: GGA-PBE
Structure: relaxed

a b c (Å): 5.947 5.947 5.947
angles (deg): 60.00 60.00 60.00
Sites, in units of the cell vectors:
Rb 0.250 0.250 0.250
Rb 0.750 0.750 0.750
Pa 0.000 0.000 0.000
Pt 0.500 0.500 0.500
O 0.259 0.259 0.741
O 0.259 0.741 0.259
O 0.259 0.741 0.741
O 0.741 0.259 0.259
O 0.741 0.259 0.741
O 0.741 0.741 0.259

Values from the calculation:
The calculation puts the total energy at -66.459 eV per formula unit.


# 12
Compound: Rb3PaPt2O8
Source: the Alexandria database
Functional: GGA-PBE
Structure: relaxed

a b c (Å): 5.855 5.855 8.642
angles (deg): 90.00 90.00 120.00
Sites, in units of the cell vectors:
Rb 0.000 0.000 0.000
Rb 0.333 0.667 0.665
Rb 0.667 0.333 0.335
Pa 0.000 0.000 0.500
Pt 0.333 0.667 0.213
Pt 0.667 0.333 0.787
O 0.176 0.352 0.361
O 0.176 0.824 0.361
O 0.333 0.667 0.003
O 0.352 0.176 0.639
O 0.648 0.824 0.361
O 0.667 0.333 0.997
O 0.824 0.176 0.639
O 0.824 0.648 0.639

Values from the calculation:
The calculation puts the total energy at -83.111 eV per formula unit.